(1)
A relaxed structure of ErIn3Pt12. Source: the Alexandria database, functional PBE.

Cell: 4.0695 4.0695 16.1870 Å, 90.00 90.00 90.00°
Last column: nearest neighbours and their distance in Å.
Fractional coordinates of all 16 atoms:
Er 0.0000 0.0000 0.0000  12 Pt 2.88-2.90
In 0.0000 0.0000 0.2522  12 Pt 2.85-2.88
In 0.0000 0.0000 0.5000  12 Pt 2.86-2.88
In 0.0000 0.0000 0.7478  12 Pt 2.85-2.88
Pt 0.0000 0.5000 0.1274  8 Pt 2.86-2.90, 2 In 2.87, 2 Er 2.90
Pt 0.0000 0.5000 0.3757  4 In 2.85-2.86, 8 Pt 2.86-2.88
Pt 0.0000 0.5000 0.6243  4 In 2.85-2.86, 8 Pt 2.86-2.88
Pt 0.0000 0.5000 0.8726  8 Pt 2.86-2.90, 2 In 2.87, 2 Er 2.90
Pt 0.5000 0.0000 0.1274  8 Pt 2.86-2.90, 2 In 2.87, 2 Er 2.90
Pt 0.5000 0.0000 0.3757  4 In 2.85-2.86, 8 Pt 2.86-2.88
Pt 0.5000 0.0000 0.6243  4 In 2.85-2.86, 8 Pt 2.86-2.88
Pt 0.5000 0.0000 0.8726  8 Pt 2.86-2.90, 2 In 2.87, 2 Er 2.90
Pt 0.5000 0.5000 0.0000  4 Er 2.88, 8 Pt 2.90
Pt 0.5000 0.5000 0.2517  8 Pt 2.86, 4 In 2.88
Pt 0.5000 0.5000 0.5000  8 Pt 2.86, 4 In 2.88
Pt 0.5000 0.5000 0.7483  8 Pt 2.86, 4 In 2.88

Summary:
ΔH_f (0 K) (eV/f.u.): -8.8
Theoretical density (g cm⁻³): 17.67



(2)
A relaxed structure of Ba6Te2PdI3. Source: the Alexandria database, functional PBE.

Cell: 8.6351 8.6351 8.7573 Å, 99.52 99.52 119.85°
Last column: nearest neighbours and their distance in Å.
Fractional coordinates of all 12 atoms:
Ba 0.0711 0.3802 0.2147  1 Pd 3.20, 2 Te 3.48-3.49
Ba 0.2369 0.2369 0.7779  1 Pd 3.26, 2 Te 3.49
Ba 0.3802 0.0711 0.2147  1 Pd 3.20, 2 Te 3.48-3.49
Ba 0.6198 0.9289 0.7853  1 Pd 3.20, 2 Te 3.48-3.49
Ba 0.7631 0.7631 0.2221  1 Pd 3.26, 2 Te 3.49
Ba 0.9289 0.6198 0.7853  1 Pd 3.20, 2 Te 3.48-3.49
Te 0.3344 0.6656 0.0000  6 Ba 3.48-3.49
Te 0.6656 0.3344 0.0000  6 Ba 3.48-3.49
Pd 0.0000 0.0000 0.0000  6 Ba 3.20-3.26
I 0.1785 0.8215 0.5000  6 Ba 3.66-3.77
I 0.5000 0.5000 0.5000  6 Ba 3.65-3.84
I 0.8215 0.1785 0.5000  6 Ba 3.66-3.77

Summary:
Formation energy (no corrections) (meV/atom): -1358
Theoretical density (g cm⁻³): 4.87



(3)
A relaxed structure of CeDy2AlC. Source: the Alexandria database, functional PBE.

Cell: 4.9153 4.9153 4.8495 Å, 90.00 90.00 90.00°
Last column: nearest neighbours and their distance in Å.
Fractional coordinates of all 5 atoms:
Ce 0.0000 0.0000 0.0000  2 C 2.42
Dy 0.0000 0.5000 0.5000  2 C 2.46
Dy 0.5000 0.0000 0.5000  2 C 2.46
Al 0.5000 0.5000 0.0000  8 Dy 3.45, 4 Ce 3.48
C 0.0000 0.0000 0.5000  2 Ce 2.42, 4 Dy 2.46

Summary:
ΔH_f (0 K) (eV/f.u.): -1.6
Theoretical density (g cm⁻³): 7.14



(4)
A relaxed structure of Tb6Pr3Tm2. Source: the Alexandria database, functional PBE.

Cell: 16.9993 16.9993 16.9993 Å, 163.83 163.83 22.94°
Last column: nearest neighbours and their distance in Å.
Fractional coordinates of all 11 atoms:
Tb 0.1193 0.6193 0.5000  6 Tb 3.38-3.40, 2 Tm 3.42, 2 Pr 3.70
Tb 0.1919 0.1919 0.0000  4 Tb 3.40, 5 Pr 3.40-3.47
Tb 0.3807 0.8807 0.5000  6 Tb 3.38-3.40, 2 Tm 3.42, 2 Pr 3.70
Tb 0.6193 0.1193 0.5000  6 Tb 3.38-3.40, 2 Tm 3.42, 2 Pr 3.70
Tb 0.8081 0.8081 0.0000  4 Tb 3.40, 5 Pr 3.40-3.47
Tb 0.8807 0.3807 0.5000  6 Tb 3.38-3.40, 2 Tm 3.42, 2 Pr 3.70
Pr 0.2960 0.2960 0.0000  9 Tb 3.40-3.70
Pr 0.5000 0.5000 0.0000  8 Tm 3.71
Pr 0.7040 0.7040 0.0000  9 Tb 3.40-3.70
Tm 0.0460 0.0460 0.0000  1 Tm 3.06, 4 Tb 3.42
Tm 0.9540 0.9540 0.0000  1 Tm 3.06, 4 Tb 3.42

Summary:
ΔH_f (0 K) (eV/f.u.): 3.0
Theoretical density (g cm⁻³): 7.47
Energy above the most stable polymorph in this dataset (meV per atom): 253



(5)
A relaxed structure of Ce2PuTl3S6. Source: the Alexandria database, functional PBE.

Cell: 7.1963 7.1963 7.8362 Å, 98.80 98.80 120.00°
Last column: nearest neighbours and their distance in Å.
Fractional coordinates of all 12 atoms:
Ce 0.1667 0.8333 0.0000  6 S 2.83
Ce 0.8333 0.1667 0.0000  6 S 2.83
Pu 0.5000 0.5000 0.0000  6 S 2.81
Tl 0.0000 0.0000 0.5000  6 S 3.28-3.30
Tl 0.3339 0.6661 0.5000  6 S 3.28-3.30
Tl 0.6661 0.3339 0.5000  6 S 3.28-3.30
S 0.1025 0.4338 0.8013  1 Pu 2.81, 2 Ce 2.83
S 0.2349 0.2349 0.1986  1 Pu 2.81, 2 Ce 2.83
S 0.4338 0.1025 0.8013  1 Pu 2.81, 2 Ce 2.83
S 0.5662 0.8975 0.1987  1 Pu 2.81, 2 Ce 2.83
S 0.7651 0.7651 0.8014  1 Pu 2.81, 2 Ce 2.83
S 0.8975 0.5662 0.1987  1 Pu 2.81, 2 Ce 2.83

Summary:
Formation energy (no corrections) (meV/atom): -1347
Theoretical density (g cm⁻³): 6.60



(6)
A relaxed structure of Pm2Sb4Pb. Source: the Alexandria database, functional PBE.

Cell: 4.3465 4.3465 11.6744 Å, 90.00 90.00 90.00°
Last column: nearest neighbours and their distance in Å.
Fractional coordinates of all 7 atoms:
Pm 0.0000 0.5000 0.2132  8 Sb 3.25-3.30
Pm 0.5000 0.0000 0.7868  8 Sb 3.25-3.30
Sb 0.0000 0.0000 0.0000  4 Sb 3.07, 4 Pm 3.30
Sb 0.0000 0.5000 0.6959  2 Pb 3.16, 4 Pm 3.25
Sb 0.5000 0.0000 0.3041  2 Pb 3.16, 4 Pm 3.25
Sb 0.5000 0.5000 0.0000  4 Sb 3.07, 4 Pm 3.30
Pb 0.0000 0.0000 0.5000  4 Sb 3.16

Summary:
Formation energy (no corrections) (meV/atom): -650
Theoretical density (g cm⁻³): 7.41



(7)
A relaxed structure of HfThMg2Au4. Source: the Alexandria database, functional PBE.

Cell: 8.9701 8.9701 8.9701 Å, 30.64 30.64 30.64°
Last column: nearest neighbours and their distance in Å.
Fractional coordinates of all 8 atoms:
Hf 0.0000 0.0000 0.0000  8 Au 2.82-2.90
Th 0.5000 0.5000 0.5000  8 Au 3.10-3.30
Mg 0.2575 0.2575 0.2575  7 Au 2.87-2.92
Mg 0.7425 0.7425 0.7425  7 Au 2.87-2.92
Au 0.1099 0.1099 0.1099  1 Hf 2.82, 3 Mg 2.87, 3 Th 3.10
Au 0.3713 0.3713 0.3713  4 Mg 2.90-2.92, 3 Hf 2.90
Au 0.6287 0.6287 0.6287  4 Mg 2.90-2.92, 3 Hf 2.90
Au 0.8901 0.8901 0.8901  1 Hf 2.82, 3 Mg 2.87, 3 Th 3.10

Summary:
ΔH_f (0 K) (eV/f.u.): -5.0
Theoretical density (g cm⁻³): 12.46



(8)
A relaxed structure of Y2ScZn2. Source: the Alexandria database, functional PBE.

Cell: 6.1334 6.1334 6.1334 Å, 143.80 115.16 76.58°
Last column: nearest neighbours and their distance in Å.
Fractional coordinates of all 5 atoms:
Y 0.2125 0.2125 0.0000  6 Zn 3.08-3.41, 2 Sc 3.36
Y 0.7875 0.7875 0.0000  6 Zn 3.08-3.41, 2 Sc 3.36
Sc 0.5000 0.0000 0.5000  4 Zn 2.76
Zn 0.1969 0.5000 0.6969  1 Zn 2.59, 2 Sc 2.76
Zn 0.8031 0.5000 0.3031  1 Zn 2.59, 2 Sc 2.76

Summary:
ΔH_f (0 K) (eV/f.u.): -1.1
Theoretical density (g cm⁻³): 4.87
Energy above the most stable polymorph in this dataset (meV per atom): 28